[1]
Here is a geometry-optimized MgPaPd14 structure from Alexandria. Energies are from PBE.

Values from the calculation:
ρ = 11.3 g cm⁻³
formation enthalpy at 0 K = -0.3827 eV/atom

Cell: 5.7325 5.7325 7.8248 Å, 90.00 90.00 90.00°
Last column: nearest neighbours and their distance in Å.
Space group P4/mmm (No. 123)
Asymmetric unit:
Mg  0.0000  0.0000  0.0000 (multiplicity 1)  12 Pd 2.82-2.87
Pa  0.5000  0.5000  0.0000 (multiplicity 1)  12 Pd 2.82-2.87
Pd  0.0000  0.0000  0.5000 (multiplicity 1)  12 Pd 2.82-2.87
Pd  0.0000  0.5000  0.0000 (multiplicity 2)  8 Pd 2.82, 2 Pa 2.87, 2 Mg 2.87
Pd  0.0000  0.5000  0.5000 (multiplicity 2)  12 Pd 2.81-2.87
Pd  0.2503  0.2503  0.2506 (multiplicity 8)  10 Pd 2.81-2.87, 1 Pa 2.82, 1 Mg 2.82
Pd  0.5000  0.5000  0.5000 (multiplicity 1)  12 Pd 2.81-2.87

---

[2]
Here is a geometry-optimized TmScCdAu structure from Alexandria. Energies are from PBE.

Values from the calculation:
ρ = 9.8 g cm⁻³
distance to the lowest polymorph of the same formula = 0 meV per atom
formation enthalpy at 0 K = -0.5737 eV/atom

Cell: 3.5625 3.5625 7.0187 Å, 90.00 90.00 90.00°
Last column: nearest neighbours and their distance in Å.
Space group P4mm (No. 99)
Asymmetric unit:
Tm  0.0000  0.0000  0.0000 (multiplicity 1)  4 Au 3.08, 4 Cd 3.20, 1 Sc 3.33
Sc  0.0000  0.0000  0.4739 (multiplicity 1)  4 Au 2.96, 4 Cd 3.05
Cd  0.5000  0.5000  0.7193 (multiplicity 1)  4 Sc 3.05, 4 Tm 3.20, 1 Au 3.28
Au  0.5000  0.5000  0.2515 (multiplicity 1)  4 Sc 2.96, 4 Tm 3.08, 1 Cd 3.28